Below is Na3VSi after structural relaxation, with properties calculated at the PBE-GGA level.

Computed properties:
symmetry	Pm-3m

Lattice parameters (Å, degrees): 5.4876 5.4876 5.4876 90.00 90.00 90.00
Last column: nearest neighbours and their distance in Å.
Atoms (fractional coordinates):
Na 0.0000 0.0000 0.5000  2 Si 2.74
Na 0.0000 0.5000 0.0000  2 Si 2.74
Na 0.5000 0.0000 0.0000  2 Si 2.74
V 0.5000 0.5000 0.5000  12 Na 3.88
Si 0.0000 0.0000 0.0000  6 Na 2.74

---

Below is NaVSi2 after structural relaxation, with properties calculated at the PBE-GGA level.

Computed properties:
symmetry	Fm-3m

Lattice parameters (Å, degrees): 4.4800 4.4800 4.4800 60.00 60.00 60.00
Last column: nearest neighbours and their distance in Å.
Atoms (fractional coordinates):
Na 0.0000 0.0000 0.0000  8 Si 2.74
V 0.5000 0.5000 0.5000  8 Si 2.74
Si 0.2500 0.2500 0.2500  4 Na 2.74, 4 V 2.74
Si 0.7500 0.7500 0.7500  4 Na 2.74, 4 V 2.74

---

Below is Na3VSi after structural relaxation, with properties calculated at the PBE-GGA level.

Computed properties:
symmetry	Pm-3m

Lattice parameters (Å, degrees): 5.4916 5.4916 5.4916 90.00 90.00 90.00
Last column: nearest neighbours and their distance in Å.
Atoms (fractional coordinates):
Na 0.0000 0.0000 0.5000  2 V 2.75
Na 0.0000 0.5000 0.0000  2 V 2.75
Na 0.5000 0.0000 0.0000  2 V 2.75
V 0.0000 0.0000 0.0000  6 Na 2.75
Si 0.5000 0.5000 0.5000  12 Na 3.88

---

Below is Na2ZrVSi after structural relaxation, with properties calculated at the PBE-GGA level.

Computed properties:
symmetry	P4/mmm

Lattice parameters (Å, degrees): 5.1428 5.1428 4.8655 90.00 90.00 90.00
Last column: nearest neighbours and their distance in Å.
Atoms (fractional coordinates):
Na 0.0000 0.5000 0.0000  2 V 2.57
Na 0.5000 0.0000 0.0000  2 V 2.57
Zr 0.0000 0.0000 0.5000  2 V 2.43
V 0.0000 0.0000 0.0000  2 Zr 2.43, 4 Na 2.57
Si 0.5000 0.5000 0.5000  8 Na 3.54, 4 Zr 3.64

---

Below is NaSi2W after structural relaxation, with properties calculated at the PBE-GGA level.

Computed properties:
symmetry	I-42d

Lattice parameters (Å, degrees): 8.7623 8.7623 8.7623 145.15 145.15 50.11
Last column: nearest neighbours and their distance in Å.
Atoms (fractional coordinates):
Na 0.0000 0.0000 0.0000  8 Si 3.53-3.55, 4 W 3.71
Na 0.7500 0.2500 0.5000  8 Si 3.53-3.55, 4 W 3.71
Si 0.3721 0.6250 0.2471  2 W 2.38, 2 Si 2.62
Si 0.3750 0.6221 0.7471  2 W 2.38, 2 Si 2.62
Si 0.3779 0.1250 0.7529  2 W 2.38, 2 Si 2.62
Si 0.8750 0.6279 0.2529  2 W 2.38, 2 Si 2.62
W 0.2500 0.7500 0.5000  4 Si 2.38
W 0.5000 0.5000 0.0000  4 Si 2.38

---

Below is NaSi2W after structural relaxation, with properties calculated at the PBE-GGA level.

Computed properties:
symmetry	Fm-3m

Lattice parameters (Å, degrees): 4.4477 4.4477 4.4477 60.00 60.00 60.00
Last column: nearest neighbours and their distance in Å.
Atoms (fractional coordinates):
Na 0.0000 0.0000 0.0000  8 Si 2.72
Si 0.2500 0.2500 0.2500  4 W 2.72, 4 Na 2.72
Si 0.7500 0.7500 0.7500  4 W 2.72, 4 Na 2.72
W 0.5000 0.5000 0.5000  8 Si 2.72

---

Electronic total energy for the records above, in order: -2.693 -4.966 -2.355 -3.821 -5.585 -5.714 eV per atom